Entry 1:
Below is a relaxed structure of CrHS2, with properties calculated at the PBE level.

a = 5.784 Å, b = 7.119 Å, c = 7.119 Å
α = 46.51°, β = 109.09°, γ = 70.91°
Site moments in Bohr magnetons follow the coordinates.
Positions (direct):
Cr 0.750 0.962 0.462  1.05
Cr 0.250 0.038 0.538  1.05
S 0.175 0.210 0.082  -0.05
S 0.325 0.582 0.710  -0.05
S 0.825 0.790 0.918  -0.05
S 0.675 0.418 0.290  -0.05
H 0.750 0.165 0.665  0.01
H 0.250 0.835 0.335  0.01

Values from the calculation:
Its space-group type is C2/c. The density of states at the Fermi level comes out at 0.3590 states/eV per atom. The calculation puts the energy above the most stable polymorph in this dataset at 370.6 meV/atom. The value obtained for the electronic total energy is -43.204 eV/cell.

=====

Entry 2:
Below is a relaxed structure of Sr2CoRe, with properties calculated at the PBE level.

a = 9.967 Å, b = 9.967 Å, c = 9.967 Å
α = 18.81°, β = 18.81°, γ = 18.81°
Site moments in Bohr magnetons follow the coordinates.
Positions (direct):
Co 0.250 0.250 0.250  1.31
Re 0.750 0.750 0.750  -0.78
Sr 0.996 0.996 0.996  -0.06
Sr 0.504 0.504 0.504  -0.06

Values from the calculation:
Its space-group type is R-3m. The density of states at the Fermi level comes out at 0.9375 states/eV per atom. The calculation puts the energy above the most stable polymorph in this dataset at 710.8 meV/atom. The value obtained for the electronic total energy is -17.709 eV/cell. The energy relative to the elements is 126 kJ/mol of atoms.

=====

Entry 3:
Below is a relaxed structure of SmDy4Er4, with properties calculated at the PBE level.

a = 9.530 Å, b = 9.530 Å, c = 6.471 Å
α = 90.00°, β = 90.00°, γ = 80.41°
Site moments in Bohr magnetons follow the coordinates.
Positions (direct):
Sm 0.397 0.397 0.750  0.00
Sm 0.603 0.603 0.250  0.00
Dy 0.860 0.140 0.500  0.07
Dy 0.860 0.140 0.000  0.07
Dy 0.061 0.544 0.750  0.01
Dy 0.456 0.939 0.250  0.01
Dy 0.544 0.061 0.750  0.01
Dy 0.939 0.456 0.250  0.01
Dy 0.140 0.860 0.000  0.07
Dy 0.140 0.860 0.500  0.07
Er 0.732 0.458 0.750  0.01
Er 0.542 0.268 0.250  0.01
Er 0.205 0.205 0.496  0.02
Er 0.205 0.205 0.004  0.02
Er 0.795 0.795 0.504  0.02
Er 0.795 0.795 0.996  0.02
Er 0.268 0.542 0.250  0.01
Er 0.458 0.732 0.750  0.01

Values from the calculation:
Its space-group type is Cmcm. The density of states at the Fermi level comes out at 1.8442 states/eV per atom. The calculation puts the energy above the most stable polymorph in this dataset at 188.8 meV/atom. The value obtained for the electronic total energy is -78.992 eV/cell. The energy relative to the elements is 20 kJ/mol of atoms.

=====

Entry 4:
Below is a relaxed structure of Be2AsCl, with properties calculated at the PBE level.

a = 6.560 Å, b = 5.102 Å, c = 3.029 Å
α = 63.52°, β = 103.41°, γ = 135.38°
Positions (direct):
Be 0.000 0.000 0.000
Be 0.500 0.000 0.500
As 0.500 0.500 0.000
Cl 0.000 0.500 0.500

Values from the calculation:
Its space-group type is C2/m. The density of states at the Fermi level comes out at 0.1871 states/eV per atom. The calculation puts the energy above the most stable polymorph in this dataset at 570.7 meV/atom. The value obtained for the electronic total energy is -13.323 eV/cell. As for the formation energy without anion corrections: 156 meV per atom.

=====

Entry 5:
Below is a relaxed structure of Nd2ErPd4, with properties calculated at the PBE level.

a = 5.146 Å, b = 5.146 Å, c = 7.521 Å
α = 97.35°, β = 97.35°, γ = 107.69°
Positions (direct):
Nd 0.578 0.578 0.269
Nd 0.422 0.422 0.731
Er 0.000 0.000 0.000
Pd 0.866 0.866 0.629
Pd 0.134 0.134 0.371
Pd 0.000 0.500 0.000
Pd 0.500 0.000 0.000

Values from the calculation:
Its space-group type is C2/m. The density of states at the Fermi level comes out at 0.4381 states/eV per atom. The value obtained for the electronic total energy is -37.339 eV/cell. The energy relative to the elements is -34 kJ/mol of atoms.

=====

Entry 6:
Below is a relaxed structure of Ac5InSi2, with properties calculated at the PBE level.

a = 8.374 Å, b = 8.374 Å, c = 9.803 Å
α = 115.28°, β = 115.28°, γ = 90.00°
Positions (direct):
Ac 0.535 0.686 0.721
Ac 0.814 0.965 0.279
Ac 0.000 0.000 0.000
Ac 0.500 0.500 0.000
Ac 0.186 0.035 0.721
Ac 0.686 0.186 0.721
Ac 0.035 0.535 0.721
Ac 0.314 0.814 0.279
Ac 0.965 0.465 0.279
Ac 0.465 0.314 0.279
In 0.750 0.750 0.500
In 0.250 0.250 0.500
Si 0.114 0.386 0.000
Si 0.614 0.114 0.000
Si 0.386 0.886 0.000
Si 0.886 0.614 0.000

Values from the calculation:
Its space-group type is I4/mcm. The density of states at the Fermi level comes out at 0.8393 states/eV per atom. The value obtained for the electronic total energy is -75.249 eV/cell. As for the formation energy without anion corrections: -437 meV per atom.

=====

Entry 7:
Below is a relaxed structure of ZrPtO, with properties calculated at the PBE level.

a = 2.978 Å, b = 2.978 Å, c = 9.339 Å
α = 90.00°, β = 90.00°, γ = 90.00°
Positions (direct):
Pt 0.000 0.500 0.607
Pt 0.500 0.000 0.393
Zr 0.000 0.500 0.168
Zr 0.500 0.000 0.832
O 0.500 0.000 0.083
O 0.000 0.500 0.917

Values from the calculation:
Its space-group type is P4/nmm. The density of states at the Fermi level comes out at 0.3904 states/eV per atom. The value obtained for the electronic total energy is -50.467 eV/cell. As for the formation energy without anion corrections: -1895 meV per atom.

=====

Entry 8:
Below is a relaxed structure of Nd2Sb2Rh5, with properties calculated at the PBE level.

a = 4.484 Å, b = 4.484 Å, c = 9.060 Å
α = 90.00°, β = 90.00°, γ = 90.00°
Positions (direct):
Nd 0.000 0.000 0.000
Nd 0.000 0.000 0.500
Sb 0.500 0.500 0.159
Sb 0.500 0.500 0.841
Rh 0.500 0.000 0.286
Rh 0.500 0.000 0.714
Rh 0.500 0.500 0.500
Rh 0.000 0.500 0.286
Rh 0.000 0.500 0.714

Values from the calculation:
Its space-group type is P4/mmm. The density of states at the Fermi level comes out at 0.6365 states/eV per atom. The value obtained for the electronic total energy is -59.553 eV/cell. As for the formation energy without anion corrections: -557 meV per atom.

=====

Entry 9:
Below is a relaxed structure of Zn2CdIr2, with properties calculated at the PBE level.

a = 3.763 Å, b = 3.763 Å, c = 6.586 Å
α = 73.40°, β = 73.40°, γ = 90.00°
Positions (direct):
Zn 0.750 0.250 0.500
Zn 0.250 0.750 0.500
Ir 0.394 0.394 0.212
Ir 0.606 0.606 0.788
Cd 0.000 0.000 0.000

Values from the calculation:
Its space-group type is I4/mmm. The density of states at the Fermi level comes out at 0.2391 states/eV per atom. The calculation puts the energy above the most stable polymorph in this dataset at 219.1 meV/atom. The value obtained for the electronic total energy is -20.217 eV/cell. The energy relative to the elements is 19 kJ/mol of atoms.

=====

Entry 10:
Below is a relaxed structure of Er3AlPd2, with properties calculated at the PBE level.

a = 3.476 Å, b = 3.476 Å, c = 10.791 Å
α = 90.00°, β = 90.00°, γ = 90.00°
Positions (direct):
Er 0.000 0.000 0.000
Er 0.000 0.000 0.677
Er 0.000 0.000 0.323
Al 0.500 0.500 0.500
Pd 0.500 0.500 0.834
Pd 0.500 0.500 0.166

Values from the calculation:
Its space-group type is P4/mmm. The density of states at the Fermi level comes out at 0.6398 states/eV per atom. The value obtained for the electronic total energy is -32.314 eV/cell. The energy relative to the elements is -72 kJ/mol of atoms.

=====

Entry 11:
Below is a relaxed structure of TlHg2N, with properties calculated at the PBE level.

a = 4.972 Å, b = 4.972 Å, c = 4.972 Å
α = 60.00°, β = 60.00°, γ = 60.00°
Positions (direct):
Tl 0.500 0.500 0.500
Hg 0.250 0.250 0.250
Hg 0.750 0.750 0.750
N 0.000 0.000 0.000

Values from the calculation:
Its space-group type is Fm-3m. The density of states at the Fermi level comes out at 0.4074 states/eV per atom. The calculation puts the energy above the most stable polymorph in this dataset at 528.1 meV/atom. The value obtained for the electronic total energy is -6.569 eV/cell. As for the formation energy without anion corrections: 1182 meV per atom.

=====

Entry 12:
Below is a relaxed structure of ZrCd2Pt, with properties calculated at the PBE level.

a = 4.074 Å, b = 4.074 Å, c = 4.777 Å
α = 90.00°, β = 90.00°, γ = 90.00°
Positions (direct):
Cd 0.000 0.000 0.000
Cd 0.500 0.500 0.000
Pt 0.500 0.000 0.500
Zr 0.000 0.500 0.500

Values from the calculation:
Its space-group type is P4/mmm. The density of states at the Fermi level comes out at 0.6366 states/eV per atom. The value obtained for the electronic total energy is -17.744 eV/cell. The energy relative to the elements is -32 kJ/mol of atoms.